Material: Ac4Tl5Pt6
Method: DFT, GGA-PBE
State: optimized geometry

space-group type	Cmc2_1, No. 36
total magnetization	0.0	μB per formula unit
V	403.0	Å³/f.u.
E_form	-0.6589	eV per atom
uncorrected energy	-148.79	eV for the cell shown

Cell: 4.3546 11.2428 16.7825 Å, 90.00 90.00 101.17°
Closest atoms and distances in Å follow each position.
Element x y z (fractional)
Ac1 0.9632 0.9264 0.2769  6 Pt 3.14-3.38, 2 Tl 3.45
Ac2 0.0368 0.0736 0.7769  6 Pt 3.14-3.38, 2 Tl 3.45
Ac3 0.1594 0.3188 0.3038  6 Pt 3.12-3.34
Ac4 0.8406 0.6812 0.8038  6 Pt 3.12-3.34
Ac5 0.8131 0.6263 0.4442  6 Pt 3.08-3.35
Ac6 0.1869 0.3737 0.9442  6 Pt 3.08-3.35
Ac7 0.0011 0.0021 0.5143  5 Pt 3.12-3.28
Ac8 0.9989 0.9979 0.0143  5 Pt 3.12-3.28
Tl1 0.4432 0.8863 0.6761  4 Pt 2.79-2.92
Tl2 0.5568 0.1137 0.1761  4 Pt 2.79-2.92
Tl3 0.1538 0.3075 0.6279  4 Pt 2.87-3.06, 1 Tl 3.20
Tl4 0.8462 0.6925 0.1279  4 Pt 2.87-3.06, 1 Tl 3.20
Tl5 0.6354 0.2709 0.4757  4 Pt 2.84-2.96
Tl6 0.3646 0.7291 0.9757  4 Pt 2.84-2.96
Tl7 0.2986 0.5973 0.6155  4 Pt 2.82-2.89
Tl8 0.7014 0.4027 0.1155  4 Pt 2.82-2.89
Tl9 0.3359 0.6718 0.2771  3 Pt 2.80-2.94
Tl10 0.6641 0.3282 0.7771  3 Pt 2.80-2.94
Pt1 0.7566 0.5132 0.2670  4 Tl 2.80-3.06, 2 Ac 3.12
Pt2 0.4251 0.8502 0.4075  1 Pt 2.92, 1 Tl 2.94, 2 Ac 3.20
Pt3 0.7817 0.5633 0.9797  4 Tl 2.84-2.89, 2 Ac 3.08
Pt4 0.2183 0.4367 0.4797  4 Tl 2.84-2.89, 2 Ac 3.08
Pt5 0.4501 0.9002 0.8495  2 Tl 2.84-2.92, 1 Pt 2.92, 2 Ac 3.14
Pt6 0.5499 0.0998 0.3495  2 Tl 2.84-2.92, 1 Pt 2.92, 2 Ac 3.14
Pt7 0.4327 0.8654 0.1279  4 Tl 2.86-2.96
Pt8 0.5673 0.1346 0.6279  4 Tl 2.86-2.96
Pt9 0.1192 0.2385 0.1124  4 Tl 2.79-2.83, 1 Ac 3.12
Pt10 0.8808 0.7615 0.6124  4 Tl 2.79-2.83, 1 Ac 3.12
Pt11 0.5749 0.1498 0.9075  1 Pt 2.92, 1 Tl 2.94, 2 Ac 3.20
Pt12 0.2434 0.4868 0.7670  4 Tl 2.80-3.06, 2 Ac 3.12